No. 1
DFT (GGA-PBE) results for a relaxed structure of Na2Cd2Si.

The structure in extended XYZ format:
```
10
Lattice="7.022 0.000 0.000 0.000 7.022 0.000 0.000 0.000 5.129" Properties=species:S:1:pos:R:3 pbc="T T T"
Na 1.231 2.280 0.000
Na 2.280 5.790 0.000
Na 4.742 1.231 0.000
Na 5.790 4.742 0.000
Cd 1.011 4.522 2.564
Cd 2.500 1.011 2.564
Cd 4.522 6.011 2.564
Cd 6.011 2.500 2.564
Si 0.000 0.000 2.564
Si 3.511 3.511 2.564
```



No. 2
DFT (GGA-PBE) results for a relaxed structure of Na17Cd11Si.

The structure in extended XYZ format:
```
29
Lattice="5.800 -8.164 0.000 5.800 8.164 0.000 -5.640 0.000 8.294" Properties=species:S:1:pos:R:3 pbc="T T T"
Na 0.000 0.000 0.000
Na 1.334 4.843 3.426
Na 3.738 5.728 1.024
Na 3.275 0.000 0.631
Na 6.983 4.821 0.356
Na 3.908 2.596 2.588
Na 1.747 2.841 6.048
Na -0.259 0.000 6.072
Na 1.334 -4.843 3.426
Na 4.915 2.222 6.042
Na 3.908 -2.596 2.588
Na 1.747 -2.841 6.048
Na 6.018 0.000 3.640
Na 3.738 -5.728 1.024
Na 4.915 -2.222 6.042
Na 6.983 -4.821 0.356
Na 9.295 0.000 3.223
Cd 2.291 6.689 6.027
Cd 0.744 1.497 2.982
Cd -1.326 2.952 7.542
Cd 0.744 -1.497 2.982
Cd 4.501 5.216 4.512
Cd -1.326 -2.952 7.542
Cd 6.511 1.482 0.651
Cd 2.785 0.000 4.712
Cd 6.511 -1.482 0.651
Cd 2.291 -6.689 6.027
Cd 4.501 -5.216 4.512
Si 2.849 0.000 7.450
```



No. 3
DFT (GGA-PBE) results for a relaxed structure of Na2CdSi2.

The structure in extended XYZ format:
```
5
Lattice="-2.092 2.092 6.441 2.092 -2.092 6.441 2.092 2.092 -6.441" Properties=species:S:1:pos:R:3 pbc="T T T"
Na 2.092 0.000 3.220
Na 0.000 2.092 3.220
Cd 0.000 0.000 0.000
Si 0.000 0.000 5.326
Si 0.000 0.000 7.555
```



No. 4
DFT (GGA-PBE) results for a relaxed structure of Na16Cd12Si.

The structure in extended XYZ format:
```
29
Lattice="5.814 -7.993 0.000 5.814 7.993 0.000 -5.466 0.000 8.401" Properties=species:S:1:pos:R:3 pbc="T T T"
Na 0.000 0.000 0.000
Na -1.970 0.000 3.108
Na 1.731 5.108 3.120
Na -0.172 5.391 6.562
Na -0.061 2.320 8.054
Na 3.220 0.000 0.605
Na 2.460 3.036 5.655
Na 0.833 0.000 5.713
Na 7.977 4.670 0.346
Na 4.282 1.819 3.299
Na -0.061 -2.320 8.054
Na 1.731 -5.108 3.120
Na 4.282 -1.819 3.299
Na -0.172 -5.391 6.562
Na 2.460 -3.036 5.655
Na 7.977 -4.670 0.346
Cd -2.800 1.501 6.080
Cd -0.736 2.928 4.587
Cd 1.139 1.461 2.795
Cd 4.746 4.916 1.576
Cd -2.800 -1.501 6.080
Cd 1.139 -1.461 2.795
Cd -0.736 -2.928 4.587
Cd 8.611 1.489 0.006
Cd 6.572 0.000 1.726
Cd 4.746 -4.916 1.576
Cd 6.491 0.000 4.794
Cd 8.611 -1.489 0.006
Si 3.966 0.000 6.118
```



No. 5
DFT (GGA-PBE) results for a relaxed structure of Na4CdSi.

The structure in extended XYZ format:
```
12
Lattice="2.446 -5.331 0.000 2.446 5.331 0.000 -2.301 0.000 12.288" Properties=species:S:1:pos:R:3 pbc="T T T"
Na 0.104 3.639 8.945
Na 2.446 3.675 0.000
Na 2.486 3.639 3.343
Na 0.091 0.000 7.286
Na 2.500 0.000 5.002
Na 0.104 -3.639 8.945
Na 2.446 -3.675 0.000
Na 2.486 -3.639 3.343
Cd 0.140 0.000 10.712
Cd 2.450 0.000 1.576
Si 1.295 2.676 6.144
Si 1.295 -2.676 6.144
```



No. 6
DFT (GGA-PBE) results for a relaxed structure of NaSrCd2Si.

The structure in extended XYZ format:
```
5
Lattice="5.299 0.000 0.000 0.000 5.299 0.000 0.000 0.000 5.390" Properties=species:S:1:pos:R:3 pbc="T T T"
Na 0.000 0.000 0.000
Sr 2.649 2.649 0.000
Cd 0.000 2.649 2.695
Cd 2.649 0.000 2.695
Si 0.000 0.000 2.695
```



No. 7
DFT (GGA-PBE) results for a relaxed structure of NaSr2CdSi.

The structure in extended XYZ format:
```
5
Lattice="6.343 0.000 0.000 0.000 6.343 0.000 0.000 0.000 4.899" Properties=species:S:1:pos:R:3 pbc="T T T"
Na 0.000 0.000 0.000
Sr 0.000 3.171 2.449
Sr 3.171 0.000 2.449
Cd 3.171 3.171 2.449
Si 3.171 3.171 0.000
```



No. 8
DFT (GGA-PBE) results for a relaxed structure of NaSmCd.

The structure in extended XYZ format:
```
3
Lattice="-1.735 1.735 7.448 1.735 -1.735 7.448 1.735 1.735 -7.448" Properties=species:S:1:pos:R:3 pbc="T T T"
Na 0.000 0.000 0.000
Sm 0.000 0.000 4.393
Cd 0.000 0.000 9.730
```



No. 9
DFT (GGA-PBE) results for a relaxed structure of NaSmCd.

The structure in extended XYZ format:
```
6
Lattice="3.607 0.000 0.000 0.000 5.575 0.000 -1.799 0.000 8.795" Properties=species:S:1:pos:R:3 pbc="T T T"
Na 0.005 1.394 0.834
Na 1.803 4.181 7.962
Sm 0.001 4.181 4.781
Sm 1.807 1.394 4.015
Cd 0.005 1.394 6.758
Cd 1.803 4.181 2.037
```



No. 10
DFT (GGA-PBE) results for a relaxed structure of NaSmCd4.

The structure in extended XYZ format:
```
6
Lattice="5.364 -1.916 0.000 5.364 1.916 0.000 -2.886 0.000 7.375" Properties=species:S:1:pos:R:3 pbc="T T T"
Na 0.000 0.000 0.000
Sm -1.443 0.000 3.688
Cd 3.053 0.000 1.171
Cd 1.590 0.000 4.959
Cd 6.252 0.000 2.417
Cd 4.789 0.000 6.204
```



No. 11
DFT (GGA-PBE) results for a relaxed structure of NaSm2Cd4.

The structure in extended XYZ format:
```
7
Lattice="2.664 1.538 7.521 -2.664 1.538 7.521 0.000 -3.076 7.521" Properties=species:S:1:pos:R:3 pbc="T T T"
Na 0.000 0.000 0.000
Sm 0.000 0.000 6.164
Sm 0.000 0.000 16.398
Cd 0.000 0.000 2.927
Cd 0.000 0.000 9.594
Cd 0.000 0.000 12.969
Cd 0.000 0.000 19.635
```



No. 12
DFT (GGA-PBE) results for a relaxed structure of Na2SmCd6.

The structure in extended XYZ format:
```
9
Lattice="8.825 0.000 0.000 -4.412 7.643 0.000 0.000 0.000 3.345" Properties=species:S:1:pos:R:3 pbc="T T T"
Na 0.000 5.095 0.000
Na 4.412 2.548 0.000
Sm 0.000 0.000 0.000
Cd -1.483 2.569 1.673
Cd -2.929 5.074 1.673
Cd 2.966 0.000 1.673
Cd 1.483 2.569 1.673
Cd 5.859 0.000 1.673
Cd 2.929 5.074 1.673
```



No. 13
DFT (GGA-PBE) results for a relaxed structure of Na2SmCd9.

The structure in extended XYZ format:
```
12
Lattice="2.967 1.713 9.639 -2.967 1.713 9.639 0.000 -3.426 9.639" Properties=species:S:1:pos:R:3 pbc="T T T"
Na 0.000 0.000 4.128
Na 0.000 0.000 24.790
Sm 0.000 0.000 0.000
Cd -1.510 -0.872 12.088
Cd 0.000 0.000 9.676
Cd 0.000 -1.743 16.830
Cd -1.510 0.872 16.830
Cd 0.000 0.000 14.459
Cd 1.510 -0.872 12.088
Cd 0.000 1.743 12.088
Cd 0.000 0.000 19.242
Cd 1.510 0.872 16.830
```



No. 14
DFT (GGA-PBE) results for a relaxed structure of NaSmCd17.

The structure in extended XYZ format:
```
19
Lattice="5.070 2.927 5.038 -5.070 2.927 5.038 0.000 -5.854 5.038" Properties=species:S:1:pos:R:3 pbc="T T T"
Na 0.000 0.000 0.000
Sm 0.000 0.000 10.128
Cd -1.532 -2.653 5.146
Cd -3.063 0.000 5.146
Cd -2.421 -1.398 7.988
Cd 0.000 0.000 3.724
Cd 0.000 -3.120 7.606
Cd -2.702 1.560 7.606
Cd 1.532 -2.653 5.146
Cd -1.531 2.653 5.146
Cd 0.000 0.000 6.720
Cd -2.186 -1.262 12.460
Cd 3.063 0.000 5.146
Cd 1.531 2.653 5.146
Cd 2.421 -1.398 7.988
Cd 0.000 2.796 7.988
Cd 2.702 1.560 7.606
Cd 2.186 -1.262 12.460
Cd 0.000 2.524 12.460
```



No. 15
DFT (GGA-PBE) results for a relaxed structure of NaSm3Cd4.

The structure in extended XYZ format:
```
8
Lattice="2.678 1.546 8.748 -2.678 1.546 8.748 0.000 -3.092 8.748" Properties=species:S:1:pos:R:3 pbc="T T T"
Na 0.000 0.000 0.000
Sm 0.000 0.000 6.601
Sm 0.000 0.000 13.122
Sm 0.000 0.000 19.643
Cd 0.000 0.000 3.263
Cd 0.000 0.000 9.843
Cd 0.000 0.000 16.401
Cd 0.000 0.000 22.982
```



No. 16
DFT (GGA-PBE) results for a relaxed structure of NaSmCd14.

The structure in extended XYZ format:
```
16
Lattice="6.575 0.000 0.000 0.000 6.575 0.000 0.000 0.000 8.695" Properties=species:S:1:pos:R:3 pbc="T T T"
Na 0.000 0.000 0.000
Sm 3.287 3.287 0.000
Cd 0.000 0.000 4.347
Cd 0.000 3.287 0.000
Cd 0.000 3.287 4.347
Cd 1.624 1.624 2.252
Cd 1.624 1.624 6.443
Cd 1.624 4.950 2.252
Cd 1.624 4.950 6.443
Cd 3.287 0.000 0.000
Cd 3.287 0.000 4.347
Cd 3.287 3.287 4.347
Cd 4.950 1.624 2.252
Cd 4.950 1.624 6.443
Cd 4.950 4.950 2.252
Cd 4.950 4.950 6.443
```



No. 17
DFT (GGA-PBE) results for a relaxed structure of NaSmCd2.

The structure in extended XYZ format:
```
4
Lattice="5.561 0.000 0.000 0.000 5.561 0.000 0.000 0.000 3.496" Properties=species:S:1:pos:R:3 pbc="T T T"
Na 0.000 0.000 0.000
Sm 2.781 2.781 0.000
Cd 0.000 2.781 1.748
Cd 2.781 0.000 1.748
```



No. 18
DFT (GGA-PBE) results for a relaxed structure of NaSmCd2.

The structure in extended XYZ format:
```
4
Lattice="0.000 3.736 3.736 3.736 0.000 3.736 3.736 3.736 0.000" Properties=species:S:1:pos:R:3 pbc="T T T"
Na 0.000 0.000 0.000
Sm 3.736 3.736 3.736
Cd 1.868 1.868 1.868
Cd 5.605 5.605 5.605
```



No. 19
DFT (GGA-PBE) results for a relaxed structure of NaSm2Cd6.

The structure in extended XYZ format:
```
9
Lattice="8.789 0.000 0.000 -4.395 7.612 0.000 0.000 0.000 3.388" Properties=species:S:1:pos:R:3 pbc="T T T"
Na 0.000 0.000 0.000
Sm 0.000 5.074 0.000
Sm 4.395 2.537 0.000
Cd -1.457 2.524 1.694
Cd -2.937 5.087 1.694
Cd 2.915 0.000 1.694
Cd 1.457 2.524 1.694
Cd 5.874 0.000 1.694
Cd 2.937 5.087 1.694
```



No. 20
DFT (GGA-PBE) results for a relaxed structure of NaSm4Cd5.

The structure in extended XYZ format:
```
10
Lattice="3.779 0.000 0.000 0.000 3.779 0.000 0.000 0.000 19.301" Properties=species:S:1:pos:R:3 pbc="T T T"
Na 0.000 0.000 0.000
Sm 0.000 0.000 3.856
Sm 0.000 0.000 7.718
Sm 0.000 0.000 11.583
Sm 0.000 0.000 15.445
Cd 1.890 1.890 1.953
Cd 1.890 1.890 5.799
Cd 1.890 1.890 9.651
Cd 1.890 1.890 13.502
Cd 1.890 1.890 17.349
```



No. 21
DFT (GGA-PBE) results for a relaxed structure of NaSmCd.

The structure in extended XYZ format:
```
3
Lattice="5.366 0.000 0.000 -2.683 4.647 0.000 0.000 0.000 3.312" Properties=species:S:1:pos:R:3 pbc="T T T"
Na 0.000 0.000 0.000
Sm 0.000 3.098 1.656
Cd 2.683 1.549 0.000
```



No. 22
DFT (GGA-PBE) results for a relaxed structure of NaSmCd4.

The structure in extended XYZ format:
```
6
Lattice="0.000 4.215 4.215 4.215 0.000 4.215 4.215 4.215 0.000" Properties=species:S:1:pos:R:3 pbc="T T T"
Na 0.000 0.000 0.000
Sm 2.108 2.108 2.108
Cd 5.268 3.163 3.163
Cd 3.163 5.268 3.163
Cd 3.163 3.163 5.268
Cd 5.268 5.268 5.268
```



Record-wise VASP energy values, in eV/atom: -1.89, -1.37, -2.60, -1.36, -1.88, -1.93, -2.03, -2.33, -2.35, -1.77, -2.13, -1.60, -1.42, -1.22, -2.64, -1.27, -2.15, -2.14, -2.06, -2.74, -2.33, -1.78